{
  "formula": "La2ZrRh",
  "functional": "PBE-GGA",
  "state": "relaxed",
  "lattice": [[-3.351, 2.903, 4.551], [-5.703, 2.341, -1.539], [3.705, -5.145, 0.416]],
  "species": ["Zr", "Rh", "La", "La"],
  "fractional_positions": [[0.304, 0.804, 0.500], [0.481, 0.481, 0.000], [0.711, 0.211, 0.500], [0.004, 0.004, 0.000]],
  "ef_ev_per_atom": -0.272,
  "e_above_lowest_polymorph_kj_per_mol_atoms": 1.6,
  "mass_density_g_cm3": 7.3,
  "spacegroup": "Imm2",
  "crystal_system": "orthorhombic"
}

{
  "formula": "La2ZrRh",
  "functional": "PBE-GGA",
  "state": "relaxed",
  "lattice": [[-4.217, -1.623, 3.679], [5.366, -1.512, 1.697], [0.530, 2.073, 2.679]],
  "species": ["Zr", "La", "La", "Rh"],
  "fractional_positions": [[0.000, 0.500, 0.500], [0.500, 0.500, 0.000], [0.000, 0.000, 0.000], [0.500, 0.000, 0.500]],
  "ef_ev_per_atom": 0.035,
  "e_above_lowest_polymorph_kj_per_mol_atoms": 31.2,
  "mass_density_g_cm3": 8.0,
  "spacegroup": "C2/m",
  "crystal_system": "monoclinic"
}

{
  "formula": "LaZrRh",
  "functional": "PBE-GGA",
  "state": "relaxed",
  "lattice": [[-1.555, -4.335, 0.690], [2.008, -3.574, -2.210], [2.590, -3.052, 2.381]],
  "species": ["Zr", "La", "Rh"],
  "fractional_positions": [[0.500, 0.500, 0.500], [0.750, 0.750, 0.750], [0.000, 0.000, 0.000]],
  "ef_ev_per_atom": 0.476,
  "e_above_lowest_polymorph_kj_per_mol_atoms": 101.8,
  "mass_density_g_cm3": 7.7,
  "spacegroup": "F-43m",
  "crystal_system": "cubic"
}

{
  "formula": "LaZr2Rh",
  "functional": "PBE-GGA",
  "state": "relaxed",
  "lattice": [[3.373, 0.000, 0.000], [0.000, 3.373, 0.000], [0.000, 0.000, 8.043]],
  "species": ["Zr", "Zr", "Rh", "La"],
  "fractional_positions": [[0.000, 0.000, 0.556], [0.000, 0.000, 0.944], [0.500, 0.500, 0.750], [0.500, 0.500, 0.250]],
  "ef_ev_per_atom": -0.282,
  "e_above_lowest_polymorph_kj_per_mol_atoms": 2.0,
  "mass_density_g_cm3": 7.7,
  "spacegroup": "P4/mmm",
  "crystal_system": "tetragonal"
}

{
  "formula": "LaZr2Rh",
  "functional": "PBE-GGA",
  "state": "relaxed",
  "lattice": [[8.086, 0.000, 0.000], [0.000, 8.086, 0.000], [4.043, 4.043, 3.081]],
  "species": ["La", "La", "Zr", "Zr", "Zr", "Zr", "Rh", "Rh"],
  "fractional_positions": [[0.000, 0.000, 0.000], [0.750, 0.250, 0.500], [0.375, 0.439, 0.750], [0.875, 0.811, 0.750], [0.189, 0.625, 0.250], [0.561, 0.125, 0.250], [0.250, 0.750, 0.500], [0.500, 0.500, 0.000]],
  "ef_ev_per_atom": -0.095,
  "e_above_lowest_polymorph_kj_per_mol_atoms": 20.1,
  "mass_density_g_cm3": 7.0,
  "spacegroup": "I-42d",
  "crystal_system": "tetragonal"
}

{
  "formula": "LaZr2Rh",
  "functional": "PBE-GGA",
  "state": "relaxed",
  "lattice": [[5.045, 0.008, 0.000], [-0.009, 5.045, 0.000], [0.000, 0.000, 3.349]],
  "species": ["Zr", "Zr", "Rh", "La"],
  "fractional_positions": [[0.500, 0.500, 0.000], [0.000, 0.000, 0.000], [0.000, 0.500, 0.500], [0.500, 0.000, 0.500]],
  "ef_ev_per_atom": -0.029,
  "e_above_lowest_polymorph_kj_per_mol_atoms": 26.4,
  "mass_density_g_cm3": 8.3,
  "spacegroup": "P4/mmm",
  "crystal_system": "tetragonal"
}

{
  "formula": "La2ZrRh",
  "functional": "PBE-GGA",
  "state": "relaxed",
  "lattice": [[-4.294, -1.513, 2.812], [-0.627, -4.221, -3.229], [2.077, -1.937, 2.130]],
  "species": ["Rh", "La", "La", "Zr"],
  "fractional_positions": [[0.500, 0.000, 0.500], [0.500, 0.500, 0.000], [0.000, 0.000, 0.000], [0.000, 0.500, 0.500]],
  "ef_ev_per_atom": -0.074,
  "e_above_lowest_polymorph_kj_per_mol_atoms": 20.7,
  "mass_density_g_cm3": 7.7,
  "spacegroup": "P4/mmm",
  "crystal_system": "tetragonal"
}

{
  "formula": "La3ZrRh",
  "functional": "PBE-GGA",
  "state": "relaxed",
  "lattice": [[-1.653, -1.191, -5.172], [-1.306, -5.159, 1.606], [-5.144, 1.693, 1.254]],
  "species": ["La", "La", "La", "Rh", "Zr"],
  "fractional_positions": [[0.000, 0.500, 0.000], [0.500, 0.000, 0.000], [0.000, 0.000, 0.500], [0.000, 0.000, 0.000], [0.500, 0.500, 0.500]],
  "ef_ev_per_atom": 0.057,
  "e_above_lowest_polymorph_kj_per_mol_atoms": 0.0,
  "mass_density_g_cm3": 5.9,
  "spacegroup": "Pm-3m",
  "crystal_system": "cubic"
}

{
  "formula": "LaRu7",
  "functional": "PBE-GGA",
  "state": "relaxed",
  "lattice": [[0.000, 3.960, 3.960], [3.960, 0.000, 3.960], [3.960, 3.960, 0.000]],
  "species": ["Ru", "Ru", "Ru", "Ru", "Ru", "Ru", "Ru", "La"],
  "fractional_positions": [[0.000, 0.500, 0.000], [0.500, 0.500, 0.500], [0.500, 0.000, 0.000], [0.000, 0.500, 0.500], [0.500, 0.000, 0.500], [0.000, 0.000, 0.500], [0.500, 0.500, 0.000], [0.000, 0.000, 0.000]],
  "ef_ev_per_atom": 0.342,
  "mass_density_g_cm3": 11.3,
  "spacegroup": "Fm-3m",
  "crystal_system": "cubic"
}

{
  "formula": "La3Ru5",
  "functional": "PBE-GGA",
  "state": "relaxed",
  "lattice": [[8.354, -0.893, 1.604], [-6.925, 5.853, -1.238], [0.706, -2.443, 8.168]],
  "species": ["La", "La", "La", "La", "La", "La", "Ru", "Ru", "Ru", "Ru", "Ru", "Ru", "Ru", "Ru", "Ru", "Ru"],
  "fractional_positions": [[0.286, 0.201, 0.581], [0.881, 0.300, 0.086], [0.118, 0.700, 0.914], [0.713, 0.799, 0.419], [0.349, 0.250, 0.099], [0.650, 0.750, 0.901], [0.081, 0.310, 0.304], [0.506, 0.810, 0.229], [0.266, 0.750, 0.517], [0.827, 0.541, 0.362], [0.321, 0.959, 0.286], [0.172, 0.459, 0.638], [0.918, 0.690, 0.696], [0.678, 0.041, 0.714], [0.733, 0.250, 0.483], [0.493, 0.190, 0.771]],
  "ef_ev_per_atom": 0.079,
  "e_above_lowest_polymorph_kj_per_mol_atoms": 0.0,
  "mass_density_g_cm3": 8.9,
  "spacegroup": "C2/c",
  "crystal_system": "monoclinic"
}

{
  "formula": "La3Ru5",
  "functional": "PBE-GGA",
  "state": "relaxed",
  "lattice": [[10.764, -0.059, 0.000], [5.416, 6.444, 0.000], [0.000, 0.000, 4.875]],
  "species": ["La", "La", "La", "La", "La", "La", "Ru", "Ru", "Ru", "Ru", "Ru", "Ru", "Ru", "Ru", "Ru", "Ru"],
  "fractional_positions": [[0.946, 0.647, 0.750], [0.646, 0.000, 0.250], [0.055, 0.353, 0.250], [0.408, 0.647, 0.250], [0.354, 0.000, 0.750], [0.592, 0.353, 0.750], [0.295, 0.410, 0.500], [0.191, 0.784, 0.750], [0.809, 0.216, 0.250], [0.886, 0.002, 0.750], [0.705, 0.589, 0.000], [0.025, 0.782, 0.250], [0.295, 0.410, 0.000], [0.113, 0.998, 0.250], [0.705, 0.589, 0.500], [0.976, 0.218, 0.750]],
  "ef_ev_per_atom": 0.134,
  "e_above_lowest_polymorph_kj_per_mol_atoms": 5.3,
  "mass_density_g_cm3": 9.0,
  "spacegroup": "P2_1/m",
  "crystal_system": "monoclinic"
}

{
  "formula": "La2Ru3",
  "functional": "PBE-GGA",
  "state": "relaxed",
  "lattice": [[-4.781, 6.654, 2.403], [-7.036, 3.449, 3.392], [-4.082, 4.680, 5.860]],
  "species": ["Ru", "Ru", "Ru", "La", "La"],
  "fractional_positions": [[0.178, 0.178, 0.178], [0.822, 0.822, 0.822], [0.000, 0.000, 0.000], [0.598, 0.598, 0.598], [0.402, 0.402, 0.402]],
  "ef_ev_per_atom": 0.081,
  "mass_density_g_cm3": 8.3,
  "spacegroup": "R-3m",
  "crystal_system": "trigonal"
}

{
  "formula": "La3Ru2",
  "functional": "PBE-GGA",
  "state": "relaxed",
  "lattice": [[4.286, 0.000, 0.000], [-2.143, 8.457, 0.712], [0.000, 1.288, 11.513]],
  "species": ["La", "La", "La", "La", "La", "La", "La", "La", "La", "Ru", "Ru", "Ru", "Ru", "Ru", "Ru"],
  "fractional_positions": [[0.458, 0.915, 0.331], [0.874, 0.748, 0.604], [0.839, 0.677, 0.933], [0.542, 0.085, 0.669], [0.161, 0.323, 0.067], [0.797, 0.593, 0.262], [0.203, 0.407, 0.738], [0.500, 0.000, 0.000], [0.126, 0.252, 0.396], [0.724, 0.448, 0.554], [0.276, 0.552, 0.446], [0.006, 0.011, 0.816], [0.375, 0.751, 0.790], [0.994, 0.989, 0.184], [0.625, 0.249, 0.210]],
  "ef_ev_per_atom": -0.189,
  "e_above_lowest_polymorph_kj_per_mol_atoms": 1.3,
  "mass_density_g_cm3": 7.5,
  "spacegroup": "C2/m",
  "crystal_system": "monoclinic"
}

{
  "formula": "La2Ru3",
  "functional": "PBE-GGA",
  "state": "relaxed",
  "lattice": [[5.790, -0.028, 0.000], [2.642, 5.152, 0.000], [0.000, 0.000, 7.392]],
  "species": ["La", "La", "La", "La", "Ru", "Ru", "Ru", "Ru", "Ru", "Ru"],
  "fractional_positions": [[0.166, 0.166, 0.596], [0.834, 0.834, 0.404], [0.666, 0.666, 0.904], [0.334, 0.334, 0.096], [0.500, 0.500, 0.500], [0.176, 0.676, 0.750], [0.824, 0.324, 0.250], [0.000, 0.000, 0.000], [0.324, 0.824, 0.250], [0.676, 0.176, 0.750]],
  "ef_ev_per_atom": -0.173,
  "mass_density_g_cm3": 8.7,
  "spacegroup": "Cmce",
  "crystal_system": "orthorhombic"
}

{
  "formula": "La3Ru2",
  "functional": "PBE-GGA",
  "state": "relaxed",
  "lattice": [[-4.508, -1.264, 1.619], [-3.537, -1.241, -3.238], [1.791, -5.966, 0.329]],
  "species": ["Ru", "Ru", "La", "La", "La"],
  "fractional_positions": [[0.333, 0.333, 0.182], [0.667, 0.667, 0.818], [0.333, 0.333, 0.664], [0.667, 0.667, 0.336], [0.000, 0.000, 0.000]],
  "ef_ev_per_atom": -0.169,
  "e_above_lowest_polymorph_kj_per_mol_atoms": 3.2,
  "mass_density_g_cm3": 7.8,
  "spacegroup": "P-3m1",
  "crystal_system": "trigonal"
}

{
  "formula": "La4Ru3",
  "functional": "PBE-GGA",
  "state": "relaxed",
  "lattice": [[2.744, -4.752, 0.000], [2.744, 4.752, 0.000], [0.000, 0.000, 6.289]],
  "species": ["Ru", "Ru", "Ru", "La", "La", "La", "La"],
  "fractional_positions": [[0.500, 0.500, 0.000], [0.500, 0.000, 0.000], [0.000, 0.500, 0.000], [0.667, 0.333, 0.500], [0.000, 0.000, 0.232], [0.333, 0.667, 0.500], [0.000, 0.000, 0.768]],
  "ef_ev_per_atom": 0.097,
  "e_above_lowest_polymorph_kj_per_mol_atoms": 17.0,
  "mass_density_g_cm3": 8.7,
  "spacegroup": "P6/mmm",
  "crystal_system": "hexagonal"
}

{
  "formula": "La3Ru2",
  "functional": "PBE-GGA",
  "state": "relaxed",
  "lattice": [[0.000, 5.689, 7.006], [3.258, 0.000, 7.006], [3.258, 5.689, 0.000]],
  "species": ["La", "La", "La", "La", "La", "La", "Ru", "Ru", "Ru", "Ru"],
  "fractional_positions": [[0.395, 0.348, 0.537], [0.101, 0.899, 0.899], [0.720, 0.537, 0.348], [0.351, 0.149, 0.149], [0.713, 0.530, 0.855], [0.902, 0.855, 0.530], [0.397, 0.003, 0.712], [0.247, 0.853, 0.362], [0.888, 0.712, 0.003], [0.538, 0.362, 0.853]],
  "ef_ev_per_atom": 0.011,
  "e_above_lowest_polymorph_kj_per_mol_atoms": 20.5,
  "mass_density_g_cm3": 7.9,
  "spacegroup": "Fdd2",
  "crystal_system": "orthorhombic"
}

{
  "formula": "La3Ru2",
  "functional": "PBE-GGA",
  "state": "relaxed",
  "lattice": [[-3.624, 7.759, 5.225], [-1.192, 5.896, 8.029], [0.457, 8.525, 5.269]],
  "species": ["La", "La", "La", "Ru", "Ru"],
  "fractional_positions": [[0.000, 0.000, 0.000], [0.225, 0.225, 0.225], [0.775, 0.775, 0.775], [0.395, 0.395, 0.395], [0.605, 0.605, 0.605]],
  "ef_ev_per_atom": -0.095,
  "e_above_lowest_polymorph_kj_per_mol_atoms": 10.4,
  "mass_density_g_cm3": 7.1,
  "spacegroup": "R-3m",
  "crystal_system": "trigonal"
}

{
  "formula": "La6Ru7",
  "functional": "PBE-GGA",
  "state": "relaxed",
  "lattice": [[10.985, -0.007, -0.004], [9.612, 5.319, -0.004], [9.612, 2.479, 4.706]],
  "species": ["La", "La", "La", "La", "La", "La", "Ru", "Ru", "Ru", "Ru", "Ru", "Ru", "Ru"],
  "fractional_positions": [[0.339, 0.339, 0.339], [0.661, 0.661, 0.661], [0.945, 0.945, 0.945], [0.153, 0.153, 0.153], [0.847, 0.847, 0.847], [0.055, 0.055, 0.055], [0.402, 0.912, 0.402], [0.912, 0.402, 0.402], [0.088, 0.598, 0.598], [0.500, 0.500, 0.500], [0.598, 0.088, 0.598], [0.402, 0.402, 0.912], [0.598, 0.598, 0.088]],
  "ef_ev_per_atom": -0.045,
  "mass_density_g_cm3": 9.3,
  "spacegroup": "R-3m",
  "crystal_system": "trigonal"
}

{
  "formula": "La4Ru3",
  "functional": "PBE-GGA",
  "state": "relaxed",
  "lattice": [[-1.939, 1.939, 12.290], [1.939, -1.939, 12.290], [1.939, 1.939, -12.290]],
  "species": ["Ru", "Ru", "Ru", "La", "La", "La", "La"],
  "fractional_positions": [[0.674, 0.674, 0.000], [0.000, 0.000, 0.000], [0.326, 0.326, 0.000], [0.193, 0.193, 0.000], [0.567, 0.567, 0.000], [0.433, 0.433, 0.000], [0.807, 0.807, 0.000]],
  "ef_ev_per_atom": -0.079,
  "e_above_lowest_polymorph_kj_per_mol_atoms": 0.0,
  "mass_density_g_cm3": 7.7,
  "spacegroup": "I4/mmm",
  "crystal_system": "tetragonal"
}

{
  "formula": "La7Ru",
  "functional": "PBE-GGA",
  "state": "relaxed",
  "lattice": [[0.000, 5.002, 5.002], [5.002, 0.000, 5.002], [5.002, 5.002, 0.000]],
  "species": ["La", "La", "La", "La", "La", "La", "La", "Ru"],
  "fractional_positions": [[0.000, 0.500, 0.000], [0.500, 0.500, 0.500], [0.500, 0.000, 0.500], [0.500, 0.500, 0.000], [0.500, 0.000, 0.000], [0.000, 0.000, 0.500], [0.000, 0.500, 0.500], [0.000, 0.000, 0.000]],
  "ef_ev_per_atom": 0.186,
  "mass_density_g_cm3": 7.1,
  "spacegroup": "Fm-3m",
  "crystal_system": "cubic"
}

{
  "formula": "La3Ru5",
  "functional": "PBE-GGA",
  "state": "relaxed",
  "lattice": [[0.097, 2.407, -5.483], [-3.642, -4.715, -0.616], [-3.510, 2.572, 1.067]],
  "species": ["La", "La", "La", "Ru", "Ru", "Ru", "Ru", "Ru"],
  "fractional_positions": [[0.500, 0.500, 0.000], [0.210, 0.790, 0.500], [0.790, 0.210, 0.500], [0.500, 0.000, 0.000], [0.000, 0.000, 0.000], [0.000, 0.500, 0.000], [0.278, 0.278, 0.500], [0.722, 0.722, 0.500]],
  "ef_ev_per_atom": 0.199,
  "e_above_lowest_polymorph_kj_per_mol_atoms": 11.5,
  "mass_density_g_cm3": 9.8,
  "spacegroup": "Cmmm",
  "crystal_system": "orthorhombic"
}

{
  "formula": "La3Ru2",
  "functional": "PBE-GGA",
  "state": "relaxed",
  "lattice": [[-1.628, -1.412, 6.905], [-0.309, -6.846, 2.316], [5.484, -2.525, 4.565]],
  "species": ["La", "La", "La", "La", "La", "La", "Ru", "Ru", "Ru", "Ru"],
  "fractional_positions": [[0.250, 0.583, 0.250], [0.083, 0.750, 0.750], [0.583, 0.917, 0.250], [0.750, 0.417, 0.750], [0.417, 0.083, 0.750], [0.917, 0.250, 0.250], [0.169, 0.169, 0.494], [0.331, 0.331, 0.006], [0.669, 0.669, 0.994], [0.831, 0.831, 0.506]],
  "ef_ev_per_atom": -0.202,
  "e_above_lowest_polymorph_kj_per_mol_atoms": 0.0,
  "mass_density_g_cm3": 7.2,
  "spacegroup": "R-3c",
  "crystal_system": "trigonal"
}

{
  "formula": "La2Ru3",
  "functional": "PBE-GGA",
  "state": "relaxed",
  "lattice": [[2.225, -3.853, 0.000], [2.225, 3.853, 0.000], [0.000, 0.000, 7.596]],
  "species": ["La", "La", "Ru", "Ru", "Ru"],
  "fractional_positions": [[0.667, 0.333, 0.281], [0.333, 0.667, 0.719], [0.667, 0.333, 0.920], [0.000, 0.000, 0.000], [0.333, 0.667, 0.080]],
  "ef_ev_per_atom": 0.048,
  "mass_density_g_cm3": 7.4,
  "spacegroup": "P-3m1",
  "crystal_system": "trigonal"
}

{
  "formula": "La7Ru6",
  "functional": "PBE-GGA",
  "state": "relaxed",
  "lattice": [[-7.880, -0.815, -3.912], [-2.487, -2.494, -8.103], [-4.534, -6.942, -3.053]],
  "species": ["Ru", "Ru", "Ru", "Ru", "Ru", "Ru", "La", "La", "La", "La", "La", "La", "La"],
  "fractional_positions": [[0.351, 0.351, 0.351], [0.951, 0.951, 0.951], [0.151, 0.151, 0.151], [0.049, 0.049, 0.049], [0.649, 0.649, 0.649], [0.849, 0.849, 0.849], [0.592, 0.592, 0.051], [0.500, 0.500, 0.500], [0.408, 0.408, 0.949], [0.592, 0.051, 0.592], [0.408, 0.949, 0.408], [0.051, 0.592, 0.592], [0.949, 0.408, 0.408]],
  "ef_ev_per_atom": 0.555,
  "mass_density_g_cm3": 7.8,
  "spacegroup": "R-3m",
  "crystal_system": "trigonal"
}